--- i ---
PBE Y2Si2Tc, relaxed; DOS(E_F) = 5.37 states/eV/cell; space group = No. 12; calculated volume = 20.2 A^3/atom
1.0
5.4307 -2.0935 0.0000
5.4307 2.0935 0.0000
-4.8499 0.0000 8.8845
Y Si Tc
4 4 2
Cartesian
-0.8000 0.0000 1.5790
-0.9276 0.0000 5.4104
6.9390 0.0000 3.4740
6.8115 0.0000 7.3054
-0.6853 0.0000 8.3460
2.4009 0.0000 5.5292
3.6106 0.0000 3.3553
6.6968 0.0000 0.5385
2.3404 0.0000 1.1498
3.6711 0.0000 7.7346

=====

--- ii ---
PBE Y2Si2Tc, relaxed; DOS(E_F) = 5.76 states/eV/cell; space group = No. 127; calculated volume = 19.5 A^3/atom
1.0
6.7940 0.0000 0.0000
0.0000 6.7940 0.0000
0.0000 0.0000 4.2255
Y Si Tc
4 4 2
Cartesian
1.2114 2.1856 0.0000
2.1856 5.5826 0.0000
4.6084 1.2114 0.0000
5.5826 4.6084 0.0000
0.8699 4.2669 2.1127
2.5271 0.8699 2.1127
4.2669 5.9241 2.1127
5.9241 2.5271 2.1127
0.0000 0.0000 2.1127
3.3970 3.3970 2.1127

=====

Relative energies, in meV/atom, with the most stable structure set to zero: i 0; ii 85.

=====

--- i ---
PBE Y2Si4Tc3, relaxed; DOS(E_F) = 6.69 states/eV/cell; space group = No. 69; calculated volume = 17.6 A^3/atom
1.0
0.0000 4.7144 6.1644
2.7254 0.0000 6.1644
2.7254 4.7144 0.0000
Y Si Tc
2 4 3
Cartesian
2.7254 4.7144 1.7107
2.7254 4.7144 10.6181
2.7254 3.0180 4.1892
2.7254 3.0180 8.1396
2.7254 6.4107 4.1892
2.7254 6.4107 8.1396
1.3627 2.3572 0.0000
1.3627 2.3572 6.1644
2.7254 4.7144 6.1644

=====

--- ii ---
PBE Y2Si4Tc3, relaxed; DOS(E_F) = 6.64 states/eV/cell; space group = No. 14; calculated volume = 16.3 A^3/atom
1.0
6.7807 0.0000 0.0000
0.0000 6.7927 0.0000
-2.3410 0.0000 6.3722
Y Si Tc
4 8 6
Cartesian
1.1617 1.1406 0.3709
-0.0088 2.2558 3.5570
4.4485 4.5369 2.8152
3.2780 5.6522 6.0014
-1.3553 3.7495 5.5957
-0.1848 6.4396 2.4096
1.8208 4.3575 4.0221
2.9913 5.8316 0.8359
1.4484 0.9612 5.5363
2.6189 2.4352 2.3502
4.6245 0.3531 3.9626
5.7950 3.0433 0.7765
1.0263 4.4140 1.6404
-0.1442 5.7751 4.8265
2.2198 0.0000 3.1861
3.3903 3.3964 0.0000
4.5838 1.0176 1.5458
3.4134 2.3788 4.7319

=====

Relative energies, in meV/atom, with the most stable structure set to zero: i 296; ii 0.

=====

--- i ---
PBE Zn2SiTc, relaxed; DOS(E_F) = 1.74 states/eV/cell; space group = No. 10; calculated volume = 14.3 A^3/atom
1.0
2.6504 0.0000 0.0000
0.0000 4.8890 0.0000
-0.0733 0.0000 4.4292
Zn Si Tc
2 1 1
Cartesian
0.5800 0.0000 1.1103
1.9971 0.0000 3.3188
0.0000 2.4445 0.0000
1.2886 2.4445 2.2146

=====

--- ii ---
PBE Zn2SiTc, relaxed; DOS(E_F) = 2.63 states/eV/cell; space group = No. 35; calculated volume = 14.9 A^3/atom
1.0
1.5635 -2.2699 0.0000
1.5635 2.2699 0.0000
0.0000 0.0000 8.3956
Zn Si Tc
2 1 1
Cartesian
0.0000 0.0000 0.0000
1.5635 0.0000 2.1759
0.0000 0.0000 4.3779
1.5635 0.0000 6.2360

=====

--- iii ---
PBE Zn2SiTc, relaxed; DOS(E_F) = 2.44 states/eV/cell; space group = No. 122; calculated volume = 15.5 A^3/atom
1.0
-3.5599 3.5599 2.4394
3.5599 -3.5599 2.4394
3.5599 3.5599 -2.4394
Zn Si Tc
4 2 2
Cartesian
5.3399 1.6686 -0.6099
1.6686 1.7800 0.6099
-1.7800 1.8913 1.8296
1.8913 1.7800 3.0493
0.0000 0.0000 0.0000
0.0000 3.5599 1.2197
3.5599 0.0000 1.2197
0.0000 0.0000 2.4394

=====

Relative energies, in meV/atom, with the most stable structure set to zero: i 0; ii 136; iii 328.

=====

--- i ---
PBE Zn2SiTc, relaxed; DOS(E_F) = 3.49 states/eV/cell; space group = No. 225; calculated volume = 14.4 A^3/atom
1.0
0.0000 3.0643 3.0643
3.0643 0.0000 3.0643
3.0643 3.0643 0.0000
Zn Si Tc
2 1 1
Cartesian
1.5321 1.5321 1.5321
4.5964 4.5964 4.5964
0.0000 0.0000 0.0000
3.0643 3.0643 3.0643

=====

--- ii ---
PBE Zn2SiTc, relaxed; DOS(E_F) = 2.69 states/eV/cell; space group = No. 65; calculated volume = 14.3 A^3/atom
1.0
2.5207 -4.0321 0.0000
2.5207 4.0321 0.0000
0.0000 0.0000 2.8227
Zn Si Tc
2 1 1
Cartesian
1.2604 2.0161 0.0000
1.2604 -2.0161 0.0000
0.0000 0.0000 1.4114
2.5207 0.0000 1.4114

=====

--- iii ---
PBE Zn2SiTc, relaxed; DOS(E_F) = 1.36 states/eV/cell; space group = No. 119; calculated volume = 13.8 A^3/atom
1.0
-1.8660 1.8660 3.9660
1.8660 -1.8660 3.9660
1.8660 1.8660 -3.9660
Zn Si Tc
2 1 1
Cartesian
0.0000 0.0000 0.0000
0.0000 1.8660 1.9830
1.8660 0.0000 1.9830
0.0000 0.0000 3.9660

=====

--- iv ---
PBE Zn2SiTc, relaxed; DOS(E_F) = 2.02 states/eV/cell; space group = No. 12; calculated volume = 14.3 A^3/atom
1.0
4.9469 -1.3499 0.0000
4.9469 1.3499 0.0000
-0.5122 0.0000 4.2790
Zn Si Tc
2 1 1
Cartesian
2.2291 0.0000 1.0468
7.1525 0.0000 3.2323
-0.2561 0.0000 2.1395
4.9469 0.0000 0.0000

=====

Relative energies, in meV/atom, with the most stable structure set to zero: i 550; ii 188; iii 0; iv 68.

=====

--- i ---
PBE ZnSiTc2, relaxed; DOS(E_F) = 3.08 states/eV/cell; space group = No. 44; calculated volume = 13.8 A^3/atom
1.0
-1.5162 2.0829 4.3830
1.5162 -2.0829 4.3830
1.5162 2.0829 -4.3830
Zn Si Tc
1 1 2
Cartesian
0.0000 0.0000 0.0000
1.5162 0.0000 2.2167
0.0000 0.0000 4.1998
0.0000 2.0829 2.0405

=====

--- ii ---
PBE ZnSiTc2, relaxed; DOS(E_F) = 3.57 states/eV/cell; space group = No. 47; calculated volume = 14.1 A^3/atom
1.0
2.9530 0.0000 0.0000
0.0000 4.1546 0.0000
0.0000 0.0000 4.6120
Zn Si Tc
1 1 2
Cartesian
0.0000 0.0000 0.0000
1.4765 0.0000 2.3060
0.0000 2.0773 2.3060
1.4765 2.0773 0.0000

=====

--- iii ---
PBE ZnSiTc2, relaxed; DOS(E_F) = 2.45 states/eV/cell; space group = No. 8; calculated volume = 13.8 A^3/atom
1.0
4.5539 -1.4698 0.0000
4.5539 1.4698 0.0000
-1.3029 0.0000 4.1248
Zn Si Tc
1 1 2
Cartesian
0.0000 0.0000 0.0000
6.4449 0.0000 1.3235
1.1697 0.0000 3.3844
3.8556 0.0000 2.0309

=====

Relative energies, in meV/atom, with the most stable structure set to zero: i 9; ii 177; iii 0.

=====

--- i ---
PBE ZnSiTc2, relaxed; DOS(E_F) = 4.35 states/eV/cell; space group = No. 10; calculated volume = 14.2 A^3/atom
1.0
2.8091 0.0000 0.0000
0.0000 3.8132 0.0000
-0.7560 0.0000 5.2967
Zn Si Tc
1 1 2
Cartesian
0.0000 0.0000 0.0000
-0.3780 0.0000 2.6483
0.4222 1.9066 3.9044
1.6309 1.9066 1.3923

=====

--- ii ---
PBE ZnSiTc2, relaxed; DOS(E_F) = 4.12 states/eV/cell; space group = No. 225; calculated volume = 13.5 A^3/atom
1.0
0.0000 3.0030 3.0030
3.0030 0.0000 3.0030
3.0030 3.0030 0.0000
Zn Si Tc
1 1 2
Cartesian
0.0000 0.0000 0.0000
3.0030 3.0030 3.0030
1.5015 1.5015 1.5015
4.5045 4.5045 4.5045

=====

Relative energies, in meV/atom, with the most stable structure set to zero: i 39; ii 0.

=====

--- i ---
PBE ZnSiTc2, relaxed; DOS(E_F) = 6.79 states/eV/cell; space group = No. 122; calculated volume = 15.2 A^3/atom
1.0
-3.4139 3.4139 2.6078
3.4139 -3.4139 2.6078
3.4139 3.4139 -2.6078
Zn Si Tc
2 2 4
Cartesian
0.0000 0.0000 0.0000
0.0000 3.4139 1.3039
3.4139 0.0000 1.3039
0.0000 0.0000 2.6078
1.7069 -1.4704 1.9558
1.9435 1.7069 0.6519
1.7069 4.8843 -0.6519
1.4704 1.7069 3.2597

=====

--- ii ---
PBE ZnSiTc2, relaxed; DOS(E_F) = 2.03 states/eV/cell; space group = No. 160; calculated volume = 14.5 A^3/atom
1.0
1.3957 0.8058 8.5918
-1.3957 0.8058 8.5918
0.0000 -1.6116 8.5918
Zn Si Tc
1 1 2
Cartesian
0.0000 0.0000 0.0000
0.0000 0.0000 19.4051
0.0000 0.0000 6.3444
0.0000 0.0000 12.8594

=====

Relative energies, in meV/atom, with the most stable structure set to zero: i 341; ii 0.

=====

--- i ---
PBE ZnSiTc2, relaxed; DOS(E_F) = 3.62 states/eV/cell; space group = No. 65; calculated volume = 14.3 A^3/atom
1.0
1.5065 -2.3018 0.0000
1.5065 2.3018 0.0000
0.0000 0.0000 8.2226
Zn Si Tc
1 1 2
Cartesian
0.0000 0.0000 0.0000
0.0000 0.0000 4.1113
1.5065 0.0000 2.2045
1.5065 0.0000 6.0180

=====

--- ii ---
PBE ZnSiTc2, relaxed; DOS(E_F) = 3.10 states/eV/cell; space group = No. 160; calculated volume = 15.6 A^3/atom
1.0
1.8494 1.0677 5.2588
-1.8494 1.0677 5.2588
0.0000 -2.1355 5.2588
Zn Si Tc
1 1 2
Cartesian
0.0000 0.0000 0.0000
0.0000 0.0000 2.6549
0.0000 0.0000 9.0185
0.0000 0.0000 12.0970

=====

--- iii ---
PBE ZnSiTc2, relaxed; DOS(E_F) = 3.37 states/eV/cell; space group = No. 71; calculated volume = 14.3 A^3/atom
1.0
-1.5285 2.2510 4.1420
1.5285 -2.2510 4.1420
1.5285 2.2510 -4.1420
Zn Si Tc
1 1 2
Cartesian
0.0000 0.0000 0.0000
0.0000 0.0000 4.1420
1.5285 0.0000 2.2848
0.0000 2.2510 1.8573

=====

Relative energies, in meV/atom, with the most stable structure set to zero: i 17; ii 185; iii 0.